Record 1
# HfAl2TcRh PBE-GGA relaxed
data_HfAl2TcRh
_chemical_formula_sum 'Hf1 Al2 Tc1 Rh1'
_cell_length_a 4.5364
_cell_length_b 4.5364
_cell_length_c 4.9475
_cell_angle_alpha 90.00
_cell_angle_beta 90.00
_cell_angle_gamma 90.00
_symmetry_space_group_name_H-M 'P 4/m m m'
_symmetry_Int_Tables_number 123
_symmetry_space_group_name_Hall '-P 4 2'
loop_
_atom_site_label
_atom_site_type_symbol
_atom_site_fract_x
_atom_site_fract_y
_atom_site_fract_z
Hf1 Hf 0.0000 0.0000 0.0000
Al1 Al 0.0000 0.5000 0.5000
Tc1 Tc 0.5000 0.5000 0.0000
Rh1 Rh 0.0000 0.0000 0.5000
# - ΔE_f (eV/atom) = 0.371
# - E (eV per atom) = -6.661

Record 2
# La3CeIn PBE-GGA relaxed
data_La3CeIn
_chemical_formula_sum 'La12 Ce4 In4'
_cell_length_a 6.2185
_cell_length_b 9.5996
_cell_length_c 11.0049
_cell_angle_alpha 90.00
_cell_angle_beta 90.00
_cell_angle_gamma 90.00
_symmetry_space_group_name_H-M 'I m m m'
_symmetry_Int_Tables_number 71
_symmetry_space_group_name_Hall '-I 2 2'
loop_
_atom_site_label
_atom_site_type_symbol
_atom_site_fract_x
_atom_site_fract_y
_atom_site_fract_z
La1 La 0.0000 0.1705 0.1769
La2 La 0.0000 0.2866 0.5000
Ce1 Ce 0.2374 0.5000 0.0000
In1 In 0.0000 0.5000 0.2649
# - ΔE_f (eV/atom) = -0.091
# - E (eV per atom) = -4.782

Record 3
# CaLaSN2 PBE-GGA relaxed
data_CaLaSN2
_chemical_formula_sum 'Ca1 La1 S1 N2'
_cell_length_a 4.2755
_cell_length_b 4.2755
_cell_length_c 5.9558
_cell_angle_alpha 90.00
_cell_angle_beta 90.00
_cell_angle_gamma 90.00
_symmetry_space_group_name_H-M 'P 4/m m m'
_symmetry_Int_Tables_number 123
_symmetry_space_group_name_Hall '-P 4 2'
loop_
_atom_site_label
_atom_site_type_symbol
_atom_site_fract_x
_atom_site_fract_y
_atom_site_fract_z
Ca1 Ca 0.0000 0.0000 0.0000
La1 La 0.5000 0.5000 0.5000
S1 S 0.5000 0.5000 0.0000
N1 N 0.0000 0.5000 0.5000
# - energy relative to the elements, uncorrected (meV/atom) = -181
# - E (eV per atom) = -5.723

- E of number 3 (CaLaSN2)?
  -5.723 eV per atom

- The highest E belongs to which entry?
  La3CeIn